A plane-wave DFT calculation with PBE was carried out for a relaxed Dy2MnNi3Ge4 crystal. Values from VASP.

Output
- Calculated total energy: -60.5 eV/cell
- Crystal system: tetragonal
- Space group: P-4m2 (115)

Structure (Quantum ESPRESSO input):
```
&SYSTEM
  ibrav = 0, nat = 10, ntyp = 4
/
ATOMIC_SPECIES
Dy 162.50 Dy.upf
Ge 72.64 Ge.upf
Ni 58.69 Ni.upf
Mn 54.94 Mn.upf
ATOMIC_POSITIONS crystal
Dy 0.500 0.000 0.245
Dy 0.000 0.500 0.755
Ge 0.500 0.500 0.000
Ge 0.000 0.000 0.000
Ge 0.000 0.500 0.361
Ge 0.500 0.000 0.639
Ni 0.000 0.500 0.126
Ni 0.000 0.000 0.500
Ni 0.500 0.000 0.874
Mn 0.500 0.500 0.500
CELL_PARAMETERS angstrom
-3.907 0.749 0.738
0.607 -0.713 3.936
2.127 9.694 1.427
```

A plane-wave DFT calculation with PBE was carried out for a relaxed Sm8NiIr3I4 crystal. Values from VASP.

Output
- Crystal system: trigonal
- Space group: R-3m (166)
- Formation energy from raw total energies: -14.46 eV per formula unit

Structure (Quantum ESPRESSO input):
```
&SYSTEM
  ibrav = 0, nat = 16, ntyp = 4
/
ATOMIC_SPECIES
I 126.90 I.upf
Ni 58.69 Ni.upf
Sm 150.36 Sm.upf
Ir 192.22 Ir.upf
ATOMIC_POSITIONS crystal
I 0.000 0.000 0.000
I 0.500 0.000 0.500
I 0.000 0.000 0.500
I 0.500 0.000 0.000
Ni 0.000 0.500 0.000
Sm 0.729 0.682 0.955
Sm 0.773 0.318 0.045
Sm 0.271 0.318 0.045
Sm 0.226 0.682 0.452
Sm 0.227 0.682 0.955
Sm 0.774 0.318 0.548
Sm 0.272 0.316 0.543
Sm 0.728 0.684 0.457
Ir 0.500 0.500 0.500
Ir 0.000 0.500 0.500
Ir 0.500 0.500 0.000
CELL_PARAMETERS angstrom
-1.663 -0.269 -8.145
4.504 -8.166 -0.650
-6.221 0.359 5.505
```

A plane-wave DFT calculation with PBE was carried out for a relaxed Ce3SmCo2 crystal. Values from VASP.

Output
- E above lowest polymorph: 3.7 meV per atom
- Crystal system: monoclinic
- Space group: C2/m (12)

Structure (Quantum ESPRESSO input):
```
&SYSTEM
  ibrav = 0, nat = 12, ntyp = 3
/
ATOMIC_SPECIES
Ce 140.12 Ce.upf
Sm 150.36 Sm.upf
Co 58.93 Co.upf
ATOMIC_POSITIONS crystal
Ce 0.683 0.366 0.475
Ce 0.317 0.634 0.525
Ce 0.981 0.961 0.341
Ce 0.330 0.659 0.095
Ce 0.019 0.039 0.659
Ce 0.670 0.341 0.905
Sm 0.879 0.759 0.865
Sm 0.121 0.241 0.135
Co 0.816 0.633 0.305
Co 0.488 0.976 0.130
Co 0.512 0.024 0.870
Co 0.184 0.367 0.695
CELL_PARAMETERS angstrom
-1.517 4.083 -0.393
-5.816 -4.286 2.259
5.489 2.720 7.072
```

A plane-wave DFT calculation with PBE was carried out for a relaxed SnHCl2 crystal. Values from VASP.

Output
- E above lowest polymorph: 506.9 meV per atom
- Crystal system: tetragonal
- Space group: I-42d (122)

Structure (Quantum ESPRESSO input):
```
&SYSTEM
  ibrav = 0, nat = 8, ntyp = 3
/
ATOMIC_SPECIES
Sn 118.71 Sn.upf
Cl 35.45 Cl.upf
H 1.01 H.upf
ATOMIC_POSITIONS crystal
Sn 0.750 0.250 0.500
Sn 0.000 0.000 0.000
Cl 0.481 0.125 0.250
Cl 0.375 0.519 0.750
Cl 0.875 0.731 0.750
Cl 0.269 0.625 0.250
H 0.250 0.750 0.500
H 0.500 0.500 0.000
CELL_PARAMETERS angstrom
5.921 0.000 0.000
0.000 5.921 0.000
2.960 2.960 4.663
```

A plane-wave DFT calculation with PBE was carried out for a relaxed Li6CdRh crystal. Values from VASP.

Output
- E above lowest polymorph: 3.5 meV per atom
- Crystal system: orthorhombic
- Space group: Amm2 (38)

Structure (Quantum ESPRESSO input):
```
&SYSTEM
  ibrav = 0, nat = 8, ntyp = 3
/
ATOMIC_SPECIES
Li 6.94 Li.upf
Rh 102.91 Rh.upf
Cd 112.41 Cd.upf
ATOMIC_POSITIONS crystal
Li 0.500 0.111 0.749
Li 0.000 0.384 0.233
Li 0.500 0.638 0.749
Li 0.000 0.849 0.233
Li 0.000 0.383 0.765
Li 0.500 0.152 0.304
Rh 0.500 0.606 0.213
Cd 0.000 0.877 0.754
CELL_PARAMETERS angstrom
-1.025 -0.622 4.216
8.016 -2.938 1.516
-2.992 4.607 -0.049
```

A plane-wave DFT calculation with PBE was carried out for a relaxed CaLa2Hg crystal. Values from VASP.

Output
- Calculated total energy: -13.0 eV/cell
- Crystal system: orthorhombic
- Space group: Imm2 (44)

Structure (Quantum ESPRESSO input):
```
&SYSTEM
  ibrav = 0, nat = 4, ntyp = 3
/
ATOMIC_SPECIES
Ca 40.08 Ca.upf
La 138.91 La.upf
Hg 200.59 Hg.upf
ATOMIC_POSITIONS crystal
Ca 0.465 0.465 0.000
La 0.751 0.251 0.500
La 0.029 0.029 0.000
Hg 0.256 0.756 0.500
CELL_PARAMETERS angstrom
6.814 -0.001 -0.001
3.240 5.995 0.001
-4.398 -4.052 3.267
```

What did the sixth record say?
A plane-wave DFT calculation with PBE was carried out for a relaxed CaLa2Hg crystal. Values from VASP.

Output
- Calculated total energy: -13.0 eV/cell
- Crystal system: orthorhombic
- Space group: Imm2 (44)

Structure (Quantum ESPRESSO input):
```
&SYSTEM
  ibrav = 0, nat = 4, ntyp = 3
/
ATOMIC_SPECIES
Ca 40.08 Ca.upf
La 138.91 La.upf
Hg 200.59 Hg.upf
ATOMIC_POSITIONS crystal
Ca 0.465 0.465 0.000
La 0.751 0.251 0.500
La 0.029 0.029 0.000
Hg 0.256 0.756 0.500
CELL_PARAMETERS angstrom
6.814 -0.001 -0.001
3.240 5.995 0.001
-4.398 -4.052 3.267
```